No. 1
ZrTaAu2 PBE optimized geometry; density = 14.7 g cm⁻³; SG = No. 119; energy relative to the elements = -0.082 eV per atom
1.0
5.3283 -0.0001 0.0000
2.1574 4.8721 0.0000
-3.7429 -2.4360 2.9066
Au Ta Zr
2 1 1
Direct
0.0000 0.0000 0.0000 Au
0.2500 0.7500 0.5000 Au
0.5000 0.5000 0.0000 Ta
0.7500 0.2500 0.5000 Zr

No. 2
ZrTa2Au PBE optimized geometry; density = 14.1 g cm⁻³; SG = No. 10; energy above the lowest structure with this stoichiometry = 162 meV/atom; energy relative to the elements = 0.032 eV per atom
1.0
4.9913 0.0000 0.0000
0.0000 2.8981 0.0017
0.0000 0.7288 5.2792
Au Ta Zr
1 2 1
Direct
0.5000 0.7500 0.7500 Au
0.0000 0.9730 0.0090 Ta
0.0000 0.5270 0.4910 Ta
0.5000 0.2500 0.2500 Zr

No. 3
ZrTa2Au PBE optimized geometry; density = 14.2 g cm⁻³; SG = No. 119; energy above the lowest structure with this stoichiometry = 119 meV/atom; energy relative to the elements = -0.010 eV per atom
1.0
-3.0361 3.7963 1.9876
-2.6140 -1.6604 4.2416
5.0611 -0.1826 -1.3899
Au Ta Zr
1 2 1
Direct
0.7500 0.2500 0.5000 Au
0.0000 0.0000 0.0000 Ta
0.2500 0.7500 0.5000 Ta
0.5000 0.5000 0.0000 Zr

No. 4
ZrTaAu2 PBE optimized geometry; density = 14.6 g cm⁻³; SG = No. 166; energy relative to the elements = -0.020 eV per atom
1.0
9.9086 -0.0226 -0.0132
9.4621 2.9412 -0.0132
9.4621 1.4256 2.5726
Au Ta Zr
2 1 1
Direct
0.9972 0.9972 0.9972 Au
0.5028 0.5028 0.5028 Au
0.2500 0.2500 0.2500 Ta
0.7500 0.7500 0.7500 Zr

No. 5
ZrTa2Au PBE optimized geometry; density = 14.0 g cm⁻³; SG = No. 12; energy above the lowest structure with this stoichiometry = 109 meV/atom; energy relative to the elements = -0.021 eV per atom
1.0
-1.7422 4.7703 -1.8701
-0.6114 3.2119 -4.3126
-4.6449 -0.7642 -1.6630
Au Ta Zr
1 2 1
Direct
0.2500 0.2500 0.2500 Au
0.9915 0.9915 0.0137 Ta
0.5085 0.5085 0.4863 Ta
0.7500 0.7500 0.7500 Zr

No. 6
ZrTa2Au PBE optimized geometry; density = 14.2 g cm⁻³; SG = No. 47; energy above the lowest structure with this stoichiometry = 196 meV/atom; energy relative to the elements = 0.066 eV per atom
1.0
3.1248 0.0000 0.0000
0.0000 3.8281 0.0000
0.0000 0.0000 6.3729
Au Ta Zr
1 2 1
Direct
0.5000 0.5000 0.7500 Au
0.0000 0.0000 0.9914 Ta
0.0000 0.0000 0.5086 Ta
0.5000 0.5000 0.2500 Zr

No. 7
ZrTaAu2 PBE optimized geometry; density = 13.8 g cm⁻³; SG = No. 160; energy relative to the elements = -0.044 eV per atom
1.0
9.0703 -0.0094 -0.0056
8.4990 3.1680 -0.0056
8.4990 1.5279 2.7752
Au Ta Zr
2 1 1
Direct
0.0001 0.0001 0.0001 Au
0.2473 0.2473 0.2473 Au
0.5026 0.5026 0.5026 Ta
0.7500 0.7500 0.7500 Zr

No. 8
ZrTa2Au PBE optimized geometry; density = 14.1 g cm⁻³; SG = No. 123; energy above the lowest structure with this stoichiometry = 172 meV/atom; energy relative to the elements = 0.042 eV per atom
1.0
-2.6793 0.4551 -1.0503
-1.1428 -0.9100 2.5209
0.2030 8.4383 3.1381
Au Ta Zr
1 2 1
Direct
0.5000 0.5000 0.7500 Au
0.0000 0.0000 0.9849 Ta
0.0000 0.0000 0.5151 Ta
0.5000 0.5000 0.2500 Zr

No. 9
ZrTa2Au PBE optimized geometry; density = 14.1 g cm⁻³; SG = No. 99; energy above the lowest structure with this stoichiometry = 0 meV/atom; energy relative to the elements = -0.130 eV per atom
1.0
-2.8581 1.6816 -0.8818
0.7169 -0.5191 -3.3135
-3.3375 -5.5919 0.1540
Au Ta Zr
1 2 1
Direct
0.5000 0.5000 0.7563 Au
0.0000 0.0000 0.0141 Ta
0.5000 0.5000 0.2336 Ta
0.0000 0.0000 0.4960 Zr

No. 10
ZrTaAu2 PBE optimized geometry; density = 14.5 g cm⁻³; SG = No. 216; energy relative to the elements = 0.087 eV per atom
1.0
4.7656 0.0000 0.0000
2.3828 4.1271 0.0000
2.3828 1.3757 3.8911
Au Ta Zr
2 1 1
Direct
0.0000 0.0000 0.0000 Au
0.2500 0.2500 0.2500 Au
0.5000 0.5000 0.5000 Ta
0.7500 0.7500 0.7500 Zr

No. 11
ZrTa2Au PBE optimized geometry; density = 13.7 g cm⁻³; SG = No. 160; energy above the lowest structure with this stoichiometry = 219 meV/atom; energy relative to the elements = 0.089 eV per atom
1.0
9.5762 0.0010 0.0006
9.0711 3.0690 0.0006
9.0711 1.4934 2.6812
Au Ta Zr
1 2 1
Direct
0.7469 0.7469 0.7469 Au
0.0006 0.0006 0.0006 Ta
0.2528 0.2528 0.2528 Ta
0.4996 0.4996 0.4996 Zr

No. 12
ZrTaAu2 PBE optimized geometry; density = 14.8 g cm⁻³; SG = No. 10; energy relative to the elements = -0.226 eV per atom
1.0
-0.2255 -2.2161 3.5666
1.7325 -2.0570 -1.1686
6.5900 0.8602 0.9510
Au Ta Zr
2 1 1
Direct
0.0000 0.9889 0.0098 Au
0.0000 0.5111 0.4902 Au
0.5000 0.2500 0.2500 Ta
0.5000 0.7500 0.7500 Zr